A relaxed structure of PuFeSnO6. Source: Alexandria via LeMat-Bulk, functional PBE+U.

Lattice parameters (Å, degrees): 5.3941 5.3941 8.9537 90.00 90.00 120.00
Closest atoms and distances in Å follow each position.
Positions (direct):
Pu  0.3333  0.6667  0.2500  6 O 2.15
Pu  0.6667  0.3333  0.7500  6 O 2.15
Fe  0.0000  0.0000  0.0000  6 O 2.09
Fe  0.0000  0.0000  0.5000  6 O 2.09
Sn  0.3333  0.6667  0.7500  6 O 2.11
Sn  0.6667  0.3333  0.2500  6 O 2.11
O  0.0062  0.3294  0.6254  1 Fe 2.09, 1 Sn 2.11, 1 Pu 2.15
O  0.0062  0.6768  0.8746  1 Fe 2.09, 1 Sn 2.11, 1 Pu 2.15
O  0.3232  0.3294  0.8746  1 Fe 2.09, 1 Sn 2.11, 1 Pu 2.15
O  0.3232  0.9938  0.6254  1 Fe 2.09, 1 Sn 2.11, 1 Pu 2.15
O  0.3294  0.0062  0.1254  1 Fe 2.09, 1 Sn 2.11, 1 Pu 2.15
O  0.3294  0.3232  0.3746  1 Fe 2.09, 1 Sn 2.11, 1 Pu 2.15
O  0.6706  0.6768  0.6254  1 Fe 2.09, 1 Sn 2.11, 1 Pu 2.15
O  0.6706  0.9938  0.8746  1 Fe 2.09, 1 Sn 2.11, 1 Pu 2.15
O  0.6768  0.0062  0.3746  1 Fe 2.09, 1 Sn 2.11, 1 Pu 2.15
O  0.6768  0.6706  0.1254  1 Fe 2.09, 1 Sn 2.11, 1 Pu 2.15
O  0.9938  0.3232  0.1254  1 Fe 2.09, 1 Sn 2.11, 1 Pu 2.15
O  0.9938  0.6706  0.3746  1 Fe 2.09, 1 Sn 2.11, 1 Pu 2.15

Values from the calculation:
- total magnetic moment (μB per formula unit) = 8.000
- total DFT energy (no corrections) (eV per atom) = -7.796
- space-group type = P-31c (163)